! PBE-GGA Hf2SbHRh, optimized geometry; values from VASP
! E in eV per atom: -7.389
! Symmetry: P4/mmm, No. 123
! Spin magnetization in μB per atom: 0.000
&SYSTEM
  ibrav = 0, nat = 5, ntyp = 4
/
ATOMIC_SPECIES
Sb 121.76 Sb.upf
Hf 178.49 Hf.upf
Rh 102.91 Rh.upf
H 1.01 H.upf
ATOMIC_POSITIONS angstrom
Sb 2.1847 2.1847 2.0601
Hf 0.0000 2.1847 0.0000
Hf 2.1847 0.0000 0.0000
Rh 0.0000 0.0000 2.0601
H 0.0000 0.0000 0.0000
CELL_PARAMETERS angstrom
4.3694 0.0000 0.0000
0.0000 4.3694 0.0000
0.0000 0.0000 4.1201